[1]
Material: Sm4Er5Tm4
Method: DFT, GGA-PBE
State: optimized geometry

* energy of formation: 0.022 eV/atom

a = 12.7634 Å, b = 12.7634 Å, c = 4.9923 Å
α = 90.00°, β = 90.00°, γ = 90.00°
With the nearest neighbours (Å) after each atom.
Space group I4/m (No. 87)
Asymmetric unit:
Sm (0.0779, 0.3826, 0.0000)  4 Tm 3.51-3.54, 3 Er 3.54-3.57, 5 Sm 3.56-3.60
Er (0.0000, 0.0000, 0.0000)  8 Er 3.52, 4 Tm 3.53
Er (0.0390, 0.1900, 0.5000)  4 Er 3.50-3.52, 5 Tm 3.52-3.57, 3 Sm 3.54-3.57
Tm (0.1535, 0.7704, 0.0000)  4 Sm 3.51-3.54, 6 Er 3.52-3.57, 2 Tm 3.54

***

[2]
Material: SmEr4Tm
Method: DFT, GGA-PBE
State: optimized geometry

* energy of formation: 0.275 eV/atom

a = 9.2214 Å, b = 9.2214 Å, c = 9.2214 Å
α = 90.00°, β = 90.00°, γ = 90.00°
With the nearest neighbours (Å) after each atom.
Space group F-43m (No. 216)
Asymmetric unit:
Sm (0.0000, 0.0000, 0.0000)  12 Er 3.82, 4 Tm 3.99
Er (0.1248, 0.1248, 0.3752)  6 Er 3.26-3.27
Tm (0.2500, 0.2500, 0.7500)  12 Er 3.82, 4 Sm 3.99

***

Number 1: DFT total energy -118.57 eV/cell, Fermi-level density of states 1.405 states/eV per atom. Number 2: DFT total energy -103.18 eV/cell, Fermi-level density of states 1.736 states/eV per atom.